## Na2ZrMnSb (GGA-PBE)

Data for crystalline Na2ZrMnSb at its relaxed geometry.

Output
The formation energy from raw total energies is 1.134 eV per atom. Its crystal system is tetragonal. Its space-group type is No. 123.

Cell: 5.779 4.580 5.779 Å, 90.00 90.00 90.00°
Atoms (fractional coordinates):
Zr1 0.000 0.000 0.000
Na1 0.500 0.000 0.000
Na2 0.000 0.000 0.500
Mn1 0.000 0.500 0.000
Sb1 0.500 0.500 0.500

---

## Rb2Li2Zr (GGA-PBE)

Data for crystalline Rb2Li2Zr at its relaxed geometry.

Output
Its crystal system is tetragonal. For the energy of formation from the pure elements, the calculation gives 947 meV/atom. Its space-group type is No. 139. The energy above the most stable polymorph in this dataset is 106.8 meV per atom.

Cell: 4.863 4.863 8.596 Å, 73.57 73.57 90.00°
Atoms (fractional coordinates):
Li1 0.425 0.425 0.150
Li2 0.575 0.575 0.850
Zr1 0.000 0.000 0.000
Rb1 0.250 0.750 0.500
Rb2 0.750 0.250 0.500

---

## K2HgBr5 (GGA-PBE)

Data for crystalline K2HgBr5 at its relaxed geometry.

Output
The formation energy from raw total energies is -0.939 eV per atom. Its crystal system is orthorhombic. Its space-group type is No. 63.

Cell: 6.280 8.459 13.371 Å, 90.00 90.00 111.79°
Atoms (fractional coordinates):
K1 0.828 0.657 0.408
K2 0.828 0.657 0.092
K3 0.172 0.343 0.908
K4 0.172 0.343 0.592
Br1 0.960 0.920 0.897
Br2 0.286 0.573 0.389
Br3 0.714 0.427 0.889
Br4 0.714 0.427 0.611
Br5 0.040 0.080 0.397
Br6 0.286 0.573 0.111
Br7 0.669 0.339 0.250
Br8 0.331 0.661 0.750
Br9 0.040 0.080 0.103
Br10 0.960 0.920 0.603
Hg1 0.840 0.680 0.750
Hg2 0.160 0.320 0.250

---

- Which formula does entry 3 have?
  K2HgBr5

---

Repeat the first record exactly.
## Na2ZrMnSb (GGA-PBE)

Data for crystalline Na2ZrMnSb at its relaxed geometry.

Output
The formation energy from raw total energies is 1.134 eV per atom. Its crystal system is tetragonal. Its space-group type is No. 123.

Cell: 5.779 4.580 5.779 Å, 90.00 90.00 90.00°
Atoms (fractional coordinates):
Zr1 0.000 0.000 0.000
Na1 0.500 0.000 0.000
Na2 0.000 0.000 0.500
Mn1 0.000 0.500 0.000
Sb1 0.500 0.500 0.500